{
  "formula": "ErNpTc2",
  "functional": "PBE",
  "state": "optimized geometry",
  "mass_density_g_cm3": 13.07,
  "formation_energy_ev_per_atom": 0.0834,
  "dos_at_fermi_per_ev_atom": 1.7587,
  "spacegroup": "P4/mmm, No. 123",
  "lattice": [[4.785, 0.000, 0.000], [0.000, 4.785, 0.000], [0.000, 0.000, 3.330]],
  "species": ["Er", "Np", "Tc", "Tc"],
  "frac_coords": [[0.000, 0.000, 0.000], [0.500, 0.500, 0.000], [0.000, 0.500, 0.500], [0.500, 0.000, 0.500]]
}